Model P:
Compound: CdCoPO
Source: the Open Quantum Materials Database
Functional: PBE+U
Structure: optimized geometry

Cell lengths 4.0356, 4.0356, 8.8072 Å; angles 90.00, 90.00, 90.00 degrees
Each line ends with the local moment (μB).
Element x y z (fractional)
Co1 0.0000 0.5000 0.0489  2.54
P1 0.5000 0.0000 0.6891  0.00
Cd1 0.5000 0.5000 0.5000  0.01
Cd2 0.0000 0.0000 0.5000  0.01
O1 0.5000 0.5000 0.0000  0.11
P2 0.0000 0.5000 0.3109  0.00
O2 0.0000 0.0000 0.0000  0.11
Co2 0.5000 0.0000 0.9511  2.54

Properties
For the theoretical density, the calculation gives 5.05 Mg/m³. As for the calculated volume: 71.7 Å³/f.u. Its space-group type is P4/nmm, No. 129.

Model Q:
Compound: CdCoPO
Source: the Open Quantum Materials Database
Functional: PBE+U
Structure: optimized geometry

Cell lengths 3.9327, 3.9327, 7.5564 Å; angles 90.00, 90.00, 90.00 degrees
Each line ends with the local moment (μB).
Element x y z (fractional)
Co1 0.5000 0.5000 0.5000  0.79
P1 0.0000 0.5000 0.6286  0.01
Co2 0.0000 0.0000 0.5000  0.79
Cd1 0.0000 0.5000 0.1348  -0.01
Cd2 0.5000 0.0000 0.8652  -0.01
P2 0.5000 0.0000 0.3714  0.01
O1 0.5000 0.5000 0.0000  -0.24
O2 0.0000 0.0000 0.0000  -0.24

Properties
For the theoretical density, the calculation gives 6.20 Mg/m³. As for the calculated volume: 58.4 Å³/f.u. Its space-group type is P4/nmm, No. 129.

Model R:
Compound: CdCoPO
Source: the Open Quantum Materials Database
Functional: PBE+U
Structure: optimized geometry

Cell lengths 3.1575, 6.8387, 6.1703 Å; angles 90.00, 90.00, 90.00 degrees
Each line ends with the local moment (μB).
Element x y z (fractional)
Co1 0.0000 0.7883 0.9808  2.42
P1 0.0000 0.9045 0.3301  -0.02
O1 0.5000 0.3656 0.4032  0.13
Co2 0.0000 0.2117 0.4808  2.42
P2 0.0000 0.0955 0.8301  -0.02
O2 0.5000 0.6344 0.9032  0.13
Cd1 0.5000 0.6679 0.5399  0.02
Cd2 0.5000 0.3321 0.0399  0.02

Properties
For the theoretical density, the calculation gives 5.44 Mg/m³. As for the calculated volume: 66.6 Å³/f.u. Its space-group type is Pmc2_1, No. 26.

Of the structures shown above, model R is the most stable.